Crystalline BeSn2Pd at its relaxed geometry. Source: the Alexandria database, functional GGA-PBE.

The structure in POSCAR format:
```
BeSn2Pd
1.0
4.3675 0.0000 0.0000
0.0000 4.3675 0.0000
2.1838 2.1838 8.6143
Pd Sn Be
2 4 2
Direct
0.7500 0.2500 0.5000 Pd
0.0000 0.0000 0.0000 Pd
0.1339 0.6250 0.2500 Sn
0.3750 0.3839 0.7500 Sn
0.6161 0.1250 0.2500 Sn
0.8750 0.8661 0.7500 Sn
0.5000 0.5000 0.0000 Be
0.2500 0.7500 0.5000 Be
```

## Properties
- ΔE to the lowest computed polymorph (meV per atom) = 0
- total DFT energy (no corrections) (eV per atom) = -4.081
- formation enthalpy at 0 K (eV per atom) = 0.15
- size of the total moment (μB per atom) = 0.000